No. 1
Compound: Cu2Cl3F
Source: the Alexandria database
Functional: PBE-GGA
Structure: optimized geometry

Cell lengths 6.8388, 6.8388, 5.8185 Å; angles 90.00, 90.00, 120.00 degrees
Fractional coordinates of all 12 atoms:
Cu: 0.0000 0.0000 0.0000
Cu: 0.0000 0.5000 0.0000
Cu: 0.5000 0.0000 0.0000
Cu: 0.5000 0.5000 0.0000
Cl: 0.1675 0.3350 0.2355
Cl: 0.1675 0.8325 0.2355
Cl: 0.3350 0.1675 0.7645
Cl: 0.6650 0.8325 0.2355
Cl: 0.8325 0.1675 0.7645
Cl: 0.8325 0.6650 0.7645
F: 0.3333 0.6667 0.8522
F: 0.6667 0.3333 0.1478

Properties
- Formation energy from raw total energies: -3.98 eV/f.u.

=====

No. 2
Compound: PrNdY2Se4
Source: the Alexandria database
Functional: PBE-GGA
Structure: optimized geometry

Cell lengths 7.1546, 4.1012, 7.3656 Å; angles 90.00, 108.68, 90.00 degrees
Fractional coordinates of all 8 atoms:
Pr: 0.0000 0.0000 0.0000
Nd: 0.5000 0.5000 0.0000
Y: 0.0000 0.5000 0.5000
Y: 0.5000 0.0000 0.5000
Se: 0.2462 0.0000 0.7354
Se: 0.2566 0.5000 0.2656
Se: 0.7434 0.5000 0.7344
Se: 0.7538 0.0000 0.2646

Properties
- Formation energy from raw total energies: -14.46 eV/f.u.

=====

No. 3
Compound: Ti2Nb5As4
Source: the Alexandria database
Functional: PBE-GGA
Structure: optimized geometry

Cell lengths 10.4209, 10.4209, 7.5830 Å; angles 102.79, 102.79, 15.42 degrees
Fractional coordinates of all 11 atoms:
Ti: 0.2375 0.2375 0.1458
Ti: 0.7625 0.7625 0.8542
Nb: 0.1208 0.1208 0.2748
Nb: 0.1223 0.1223 0.8840
Nb: 0.5000 0.5000 0.0000
Nb: 0.8777 0.8777 0.1160
Nb: 0.8792 0.8792 0.7252
As: 0.0007 0.0007 0.6934
As: 0.3438 0.3438 0.4021
As: 0.6562 0.6562 0.5979
As: 0.9993 0.9993 0.3066

=====

No. 4
Compound: SrTiAg2S4
Source: the Alexandria database
Functional: PBE-GGA
Structure: optimized geometry

Cell lengths 6.2583, 6.2583, 6.2583 Å; angles 116.04, 110.03, 102.63 degrees
Fractional coordinates of all 8 atoms:
Sr: 0.0000 0.0000 0.0000
Ti: 0.5000 0.5000 0.0000
Ag: 0.3101 0.8101 0.5000
Ag: 0.6899 0.1899 0.5000
S: 0.1378 0.1404 0.6193
S: 0.4789 0.8596 0.9974
S: 0.5211 0.5184 0.3807
S: 0.8622 0.4816 0.0026

Properties
- Formation energy from raw total energies: -8.08 eV/f.u.

=====

| no. | M_tot (μB per cell) | raw total energy (eV per atom) |
| --- | --- | --- |
| 1 | 4.03 | -3.264 |
| 2 | 0.00 | -6.359 |
| 3 | 0.00 | -7.729 |
| 4 | 0.00 | -4.984 |